Density functional theory data (PBE) for InSb2Se after structural relaxation.

```
data_InSb2Se
_space_group_name_H-M_alt 'P m m m'
_space_group_IT_number 47
_cell_length_a 3.649
_cell_length_b 5.094
_cell_length_c 5.546
_cell_angle_alpha 90.00
_cell_angle_beta 90.00
_cell_angle_gamma 90.00
loop_
_space_group_symop_operation_xyz
'x,y,z'
'-x,-y,-z'
'-x,-y,z'
'x,y,-z'
'x,-y,-z'
'-x,y,z'
'-x,y,-z'
'x,-y,z'
loop_
_atom_site_label
_atom_site_fract_x
_atom_site_fract_y
_atom_site_fract_z
In1 0.000 0.000 0.000
Sb1 0.000 0.500 0.500
Sb2 0.500 0.500 0.000
Se1 0.500 0.000 0.500
```

E_form (uncorrected)	0.08	eV/atom
size of the total moment	0.00	Bohr magnetons per cell
energy	-3.535	eV per atom